# 1
{
  "formula": "CeOsSe",
  "functional": "PBE-GGA",
  "state": "optimized geometry",
  "lattice": [[2.029, -8.293, 0.000], [2.029, 8.293, 0.000], [0.000, 0.000, 4.158]],
  "species": ["Ce", "Ce", "Os", "Os", "Se", "Se"],
  "fractional_positions": [[0.117, 0.883, 0.750], [0.883, 0.117, 0.250], [0.465, 0.535, 0.750], [0.535, 0.465, 0.250], [0.314, 0.686, 0.750], [0.686, 0.314, 0.250]],
  "spacegroup": "Cmcm",
  "dft_energy_ev_per_fu": -23.02,
  "magmom_total_mub_per_fu": 0.4,
  "dos_at_fermi_per_ev_fu": 4.8
}

# 2
{
  "formula": "CeThOsSe",
  "functional": "PBE-GGA",
  "state": "optimized geometry",
  "lattice": [[2.022, 1.167, 7.427], [-2.022, 1.167, 7.427], [0.000, -2.334, 7.427]],
  "species": ["Ce", "Th", "Os", "Se"],
  "fractional_positions": [[0.000, 0.000, 0.000], [0.191, 0.191, 0.191], [0.599, 0.599, 0.599], [0.426, 0.426, 0.426]],
  "spacegroup": "R3m",
  "dft_energy_ev_per_fu": -31.60,
  "magmom_total_mub_per_fu": 0.1,
  "dos_at_fermi_per_ev_fu": 3.7
}